A) AcNdAs2 | PBE | optimized geometry

Unit cell a=5.352 b=5.352 c=5.352 alpha=60.00 beta=60.00 gamma=60.00
Fractional coordinates of all 4 atoms:
As 0.750 0.750 0.750
As 0.250 0.250 0.250
Ac 0.000 0.000 0.000
Nd 0.500 0.500 0.500

Output
ρ, g/cm³: 7.98
Density of states at the Fermi level, states/eV per cell: 2.0

B) AcNdAs2 | PBE | optimized geometry

Unit cell a=4.412 b=4.412 c=7.651 alpha=73.23 beta=73.23 gamma=60.00
Fractional coordinates of all 4 atoms:
As 0.245 0.245 0.264
As 0.755 0.755 0.736
Nd 0.500 0.500 0.500
Ac 0.000 0.000 0.000

Output
ρ, g/cm³: 7.12
Density of states at the Fermi level, states/eV per cell: 0.5

C) AcNdAs2 | PBE | optimized geometry

Unit cell a=4.372 b=4.372 c=14.594 alpha=90.00 beta=90.00 gamma=120.00
Fractional coordinates of all 8 atoms:
Nd 0.000 0.000 0.000
Nd 0.000 0.000 0.500
As 0.333 0.667 0.117
As 0.667 0.333 0.883
As 0.667 0.333 0.617
As 0.333 0.667 0.383
Ac 0.333 0.667 0.750
Ac 0.667 0.333 0.250

Output
ρ, g/cm³: 7.16
Density of states at the Fermi level, states/eV per cell: 1.0

D) AcNdAs2 | PBE | optimized geometry

Unit cell a=3.770 b=5.369 c=5.369 alpha=90.00 beta=90.00 gamma=90.00
Fractional coordinates of all 4 atoms:
Nd 0.500 0.500 0.500
As 0.000 0.000 0.500
As 0.000 0.500 0.000
Ac 0.500 0.000 0.000

Output
ρ, g/cm³: 7.96
Density of states at the Fermi level, states/eV per cell: 1.9

Of all the structures shown, which is most stable? B), and D) is the least stable.